Record 1
The following is a DFT calculation (GGA-PBE) of a relaxed structure of ScAlTcIr.

Cell lengths 6.2637, 6.2637, 6.2637 Å; angles 90.00, 90.00, 90.00 degrees
Last column: nearest neighbours and their distance in Å.
Space group F-43m (No. 216)
Symmetry-distinct sites (fractional):
Sc 0.0000 0.0000 0.0000 (multiplicity 4)  4 Tc 2.71, 4 Ir 2.71
Al 0.0000 0.0000 0.5000 (multiplicity 4)  4 Ir 2.71, 4 Tc 2.71
Tc 0.2500 0.2500 0.7500 (multiplicity 4)  4 Al 2.71, 4 Sc 2.71
Ir 0.2500 0.2500 0.2500 (multiplicity 4)  4 Sc 2.71, 4 Al 2.71

Properties
Formation energy: -0.569 eV/atom
Crystal system: cubic

=====

Record 2
The following is a DFT calculation (GGA-PBE) of a relaxed structure of MgIn2Ir.

Cell lengths 3.2161, 3.2161, 27.4038 Å; angles 90.00, 90.00, 120.00 degrees
Last column: nearest neighbours and their distance in Å.
Space group R-3m (No. 166, hexagonal axes)
Symmetry-distinct sites (fractional):
Mg 0.0000 0.0000 0.0000 (multiplicity 3)  6 In 3.11, 6 Mg 3.22
In 0.0000 0.0000 0.2422 (multiplicity 6)  3 Ir 2.78, 3 Mg 3.11
Ir 0.0000 0.0000 0.5000 (multiplicity 3)  6 In 2.78

Properties
Formation energy: 0.055 eV/atom
Crystal system: trigonal

=====

Record 3
The following is a DFT calculation (GGA-PBE) of a relaxed structure of Er8Tm2Zr.

Cell lengths 17.7025, 4.8960, 7.7766 Å; angles 90.00, 105.30, 90.00 degrees
Last column: nearest neighbours and their distance in Å.
Space group C2/m (No. 12)
Symmetry-distinct sites (fractional):
Er 0.0444 0.0000 0.2366 (multiplicity 4)  9 Er 3.36-3.60, 2 Zr 3.41, 1 Tm 3.52
Er 0.0894 0.5000 0.9450 (multiplicity 4)  1 Zr 3.40, 8 Er 3.43-3.57, 3 Tm 3.48-3.49
Er 0.1322 0.0000 0.6761 (multiplicity 4)  7 Er 3.36-3.58, 2 Zr 3.41, 3 Tm 3.51-3.53
Er 0.1791 0.5000 0.4104 (multiplicity 4)  1 Zr 3.42, 8 Er 3.44-3.58, 3 Tm 3.49-3.50
Tm 0.2264 0.0000 0.1344 (multiplicity 4)  2 Tm 3.46, 10 Er 3.48-3.53
Zr 0.0000 0.5000 0.5000 (multiplicity 2)  12 Er 3.40-3.42

Properties
Formation energy: 0.042 eV/atom
Energy above the lowest structure with this stoichiometry: 0.0000 eV per atom
Crystal system: monoclinic

=====

Number 1: Fermi-level density of states 0.99 states/eV/atom, electronic total energy -126.303 eV/cell. Number 2: Fermi-level density of states 0.40 states/eV/atom, electronic total energy -47.140 eV/cell. Number 3: Fermi-level density of states 1.31 states/eV/atom, electronic total energy -107.062 eV/cell.